No. 1
# ErHgGe (PBE, relaxed)
# - formation energy from the elements (eV per atom) = -0.4185
# - energy (eV per cell) = -42.950
# - N(E_F) (states/eV/atom) = 0.51
# - calculated volume (Å³ per cell) = 278.6
# - magnetization (μB per atom) = 0.00
data_ErHgGe
_space_group_name_H-M_alt 'C m c m'
_space_group_IT_number 63
_space_group_name_Hall '-C 2c 2'
_cell_length_a 4.011
_cell_length_b 11.226
_cell_length_c 6.187
_cell_angle_alpha 90.00
_cell_angle_beta 90.00
_cell_angle_gamma 90.00
loop_
_atom_site_label
_atom_site_fract_x
_atom_site_fract_y
_atom_site_fract_z
Er1 0.000 0.149 0.250
Hg1 0.000 0.144 0.750
Ge1 0.000 0.500 0.000

***

No. 2
# Er8HgGe5 (PBE, relaxed)
# - formation energy from the elements (eV per atom) = -0.7464
# - energy (eV per cell) = -140.681
# - N(E_F) (states/eV/atom) = 0.52
# - calculated volume (Å³ per cell) = 683.2
# - magnetization (μB per atom) = 0.00
data_Er8HgGe5
_space_group_name_H-M_alt 'I -4'
_space_group_IT_number 82
_cell_length_a 8.811
_cell_length_b 8.811
_cell_length_c 8.801
_cell_angle_alpha 90.00
_cell_angle_beta 90.00
_cell_angle_gamma 90.00
loop_
_space_group_symop_operation_xyz
'x,y,z'
'y,-x,-z'
'-x,-y,z'
'-y,x,-z'
'x+1/2,y+1/2,z+1/2'
'y+1/2,-x+1/2,-z+1/2'
'-x+1/2,-y+1/2,z+1/2'
'-y+1/2,x+1/2,-z+1/2'
loop_
_atom_site_label
_atom_site_fract_x
_atom_site_fract_y
_atom_site_fract_z
Er1 0.067 0.175 0.193
Er2 0.069 0.313 0.564
Hg1 0.000 0.500 0.250
Ge1 0.000 0.000 0.500
Ge2 0.129 0.250 0.878

***

No. 3
# ErHgGe (PBE, relaxed)
# - formation energy from the elements (eV per atom) = -0.4226
# - energy (eV per cell) = -10.750
# - N(E_F) (states/eV/atom) = 0.45
# - calculated volume (Å³ per cell) = 69.2
# - magnetization (μB per atom) = 0.00
data_ErHgGe
_space_group_name_H-M_alt 'P 3 m 1'
_space_group_IT_number 156
_cell_length_a 4.4285
_cell_length_b 4.4285
_cell_length_c 4.0742
_cell_angle_alpha 90.00
_cell_angle_beta 90.00
_cell_angle_gamma 120.00
loop_
_space_group_symop_operation_xyz
'x,y,z'
'-y,x-y,z'
'-x+y,-x,z'
'-y,-x,z'
'-x+y,y,z'
'x,x-y,z'
loop_
_atom_site_label
_atom_site_fract_x
_atom_site_fract_y
_atom_site_fract_z
Er1 0.0000 0.0000 0.0000
Hg1 0.6667 0.3333 0.4090
Ge1 0.3333 0.6667 0.6281

***

No. 4
# ErHgGe (PBE, relaxed)
# - formation energy from the elements (eV per atom) = -0.4943
# - energy (eV per cell) = -43.860
# - N(E_F) (states/eV/atom) = 0.49
# - calculated volume (Å³ per cell) = 276.3
# - magnetization (μB per atom) = 0.00
data_ErHgGe
_space_group_name_H-M_alt 'C m c m'
_space_group_IT_number 63
_space_group_name_Hall '-C 2c 2'
_cell_length_a 4.173
_cell_length_b 16.854
_cell_length_c 3.929
_cell_angle_alpha 90.00
_cell_angle_beta 90.00
_cell_angle_gamma 90.00
loop_
_atom_site_label
_atom_site_fract_x
_atom_site_fract_y
_atom_site_fract_z
Er1 0.000 0.093 0.250
Hg1 0.000 0.282 0.250
Ge1 0.000 0.449 0.250

***

No. 5
# HoErHgGe (PBE, relaxed)
# - formation energy from the elements (eV per atom) = -0.5383
# - energy (eV per cell) = -64.852
# - N(E_F) (states/eV/atom) = 0.87
# - calculated volume (Å³ per cell) = 379.9
# - magnetization (μB per atom) = 0.00
data_HoErHgGe
_space_group_name_H-M_alt 'F -4 3 m'
_space_group_IT_number 216
_space_group_name_Hall 'F -4 2 3'
_cell_length_a 7.243
_cell_length_b 7.243
_cell_length_c 7.243
_cell_angle_alpha 90.00
_cell_angle_beta 90.00
_cell_angle_gamma 90.00
loop_
_atom_site_label
_atom_site_fract_x
_atom_site_fract_y
_atom_site_fract_z
Ho1 0.000 0.000 0.000
Er1 0.000 0.000 0.500
Hg1 0.250 0.250 0.750
Ge1 0.250 0.250 0.250

***

No. 6
# ErInHgGe (PBE, relaxed)
# - formation energy from the elements (eV per atom) = -0.2131
# - energy (eV per cell) = -52.292
# - N(E_F) (states/eV/atom) = 0.55
# - calculated volume (Å³ per cell) = 380.1
# - magnetization (μB per atom) = 0.00
data_ErInHgGe
_space_group_name_H-M_alt 'F -4 3 m'
_space_group_IT_number 216
_space_group_name_Hall 'F -4 2 3'
_cell_length_a 7.244
_cell_length_b 7.244
_cell_length_c 7.244
_cell_angle_alpha 90.00
_cell_angle_beta 90.00
_cell_angle_gamma 90.00
loop_
_atom_site_label
_atom_site_fract_x
_atom_site_fract_y
_atom_site_fract_z
Er1 0.000 0.000 0.000
In1 0.000 0.000 0.500
Hg1 0.250 0.250 0.750
Ge1 0.250 0.250 0.250

***

No. 7
# LaErHgGe (PBE, relaxed)
# - formation energy from the elements (eV per atom) = -0.5592
# - energy (eV per cell) = -66.585
# - N(E_F) (states/eV/atom) = 1.03
# - calculated volume (Å³ per cell) = 413.9
# - magnetization (μB per atom) = 0.00
data_LaErHgGe
_space_group_name_H-M_alt 'F -4 3 m'
_space_group_IT_number 216
_space_group_name_Hall 'F -4 2 3'
_cell_length_a 7.453
_cell_length_b 7.453
_cell_length_c 7.453
_cell_angle_alpha 90.00
_cell_angle_beta 90.00
_cell_angle_gamma 90.00
loop_
_atom_site_label
_atom_site_fract_x
_atom_site_fract_y
_atom_site_fract_z
La1 0.000 0.000 0.000
Er1 0.000 0.000 0.500
Hg1 0.250 0.250 0.250
Ge1 0.250 0.250 0.750

***

No. 8
# ErLuHgGe (PBE, relaxed)
# - formation energy from the elements (eV per atom) = -0.5124
# - energy (eV per cell) = -64.211
# - N(E_F) (states/eV/atom) = 0.71
# - calculated volume (Å³ per cell) = 371.7
# - magnetization (μB per atom) = 0.00
data_ErLuHgGe
_space_group_name_H-M_alt 'F -4 3 m'
_space_group_IT_number 216
_space_group_name_Hall 'F -4 2 3'
_cell_length_a 7.190
_cell_length_b 7.190
_cell_length_c 7.190
_cell_angle_alpha 90.00
_cell_angle_beta 90.00
_cell_angle_gamma 90.00
loop_
_atom_site_label
_atom_site_fract_x
_atom_site_fract_y
_atom_site_fract_z
Er1 0.000 0.000 0.000
Lu1 0.000 0.000 0.500
Hg1 0.250 0.250 0.750
Ge1 0.250 0.250 0.250

***

No. 9
# ErMgHgGe (PBE, relaxed)
# - formation energy from the elements (eV per atom) = -0.3722
# - energy (eV per cell) = -50.262
# - N(E_F) (states/eV/atom) = 0.65
# - calculated volume (Å³ per cell) = 352.2
# - magnetization (μB per atom) = 0.00
data_ErMgHgGe
_space_group_name_H-M_alt 'F -4 3 m'
_space_group_IT_number 216
_space_group_name_Hall 'F -4 2 3'
_cell_length_a 7.062
_cell_length_b 7.062
_cell_length_c 7.062
_cell_angle_alpha 90.00
_cell_angle_beta 90.00
_cell_angle_gamma 90.00
loop_
_atom_site_label
_atom_site_fract_x
_atom_site_fract_y
_atom_site_fract_z
Er1 0.000 0.000 0.000
Mg1 0.000 0.000 0.500
Hg1 0.250 0.250 0.750
Ge1 0.250 0.250 0.250

***

No. 10
# NaErHgGe (PBE, relaxed)
# - formation energy from the elements (eV per atom) = -0.3787
# - energy (eV per cell) = -49.263
# - N(E_F) (states/eV/atom) = 0.35
# - calculated volume (Å³ per cell) = 369.6
# - magnetization (μB per atom) = 0.00
data_NaErHgGe
_space_group_name_H-M_alt 'F -4 3 m'
_space_group_IT_number 216
_space_group_name_Hall 'F -4 2 3'
_cell_length_a 7.177
_cell_length_b 7.177
_cell_length_c 7.177
_cell_angle_alpha 90.00
_cell_angle_beta 90.00
_cell_angle_gamma 90.00
loop_
_atom_site_label
_atom_site_fract_x
_atom_site_fract_y
_atom_site_fract_z
Na1 0.000 0.000 0.000
Er1 0.000 0.000 0.500
Hg1 0.250 0.250 0.750
Ge1 0.250 0.250 0.250

***

No. 11
# NdErHgGe (PBE, relaxed)
# - formation energy from the elements (eV per atom) = -0.5426
# - energy (eV per cell) = -65.681
# - N(E_F) (states/eV/atom) = 0.86
# - calculated volume (Å³ per cell) = 400.7
# - magnetization (μB per atom) = 0.00
data_NdErHgGe
_space_group_name_H-M_alt 'F -4 3 m'
_space_group_IT_number 216
_space_group_name_Hall 'F -4 2 3'
_cell_length_a 7.372
_cell_length_b 7.372
_cell_length_c 7.372
_cell_angle_alpha 90.00
_cell_angle_beta 90.00
_cell_angle_gamma 90.00
loop_
_atom_site_label
_atom_site_fract_x
_atom_site_fract_y
_atom_site_fract_z
Nd1 0.000 0.000 0.000
Er1 0.000 0.000 0.500
Hg1 0.250 0.250 0.250
Ge1 0.250 0.250 0.750

***

No. 12
# ErHgGeO4 (PBE, relaxed)
# - energy (eV per cell) = -174.610
# - N(E_F) (states/eV/atom) = 0.00
# - ΔE_f (raw) (eV per atom) = -2.048
# - calculated volume (Å³ per cell) = 484.8
# - magnetization (μB per atom) = 0.00
data_ErHgGeO4
_space_group_name_H-M_alt 'C 1 2/m 1'
_space_group_IT_number 12
_cell_length_a 11.677
_cell_length_b 6.198
_cell_length_c 6.862
_cell_angle_alpha 90.00
_cell_angle_beta 102.53
_cell_angle_gamma 90.00
loop_
_space_group_symop_operation_xyz
'x,y,z'
'-x,-y,-z'
'-x,y,-z'
'x,-y,z'
'x+1/2,y+1/2,z'
'-x+1/2,-y+1/2,-z'
'-x+1/2,y+1/2,-z'
'x+1/2,-y+1/2,z'
loop_
_atom_site_label
_atom_site_fract_x
_atom_site_fract_y
_atom_site_fract_z
Er1 0.204 0.000 0.357
Hg1 0.108 0.500 0.989
Ge1 0.127 0.000 0.763
O1 0.020 0.000 0.244
O2 0.181 0.214 0.632
O3 0.209 0.000 0.019

***

No. 13
# ErPaHgGe (PBE, relaxed)
# - formation energy from the elements (eV per atom) = -0.2160
# - energy (eV per cell) = -79.368
# - N(E_F) (states/eV/atom) = 2.05
# - calculated volume (Å³ per cell) = 384.2
# - magnetization (μB per atom) = 0.31
data_ErPaHgGe
_space_group_name_H-M_alt 'F -4 3 m'
_space_group_IT_number 216
_space_group_name_Hall 'F -4 2 3'
_cell_length_a 7.270
_cell_length_b 7.270
_cell_length_c 7.270
_cell_angle_alpha 90.00
_cell_angle_beta 90.00
_cell_angle_gamma 90.00
loop_
_atom_site_label
_atom_site_fract_x
_atom_site_fract_y
_atom_site_fract_z
Er1 0.000 0.000 0.000
Pa1 0.000 0.000 0.500
Hg1 0.250 0.250 0.250
Ge1 0.250 0.250 0.750